The following is a DFT calculation (PBE-GGA) of an optimized crystal structure of PmCu5Ge2.

Properties
* crystal system: orthorhombic

Structure (POSCAR):
```
PmCu5Ge2
1.0
3.993 0.000 0.000
1.996 5.775 0.369
1.996 1.424 5.609
Pm Cu Ge
1 5 2
direct
0.000 0.000 0.000 Pm
0.000 0.500 0.500 Cu
0.638 0.542 0.182 Cu
0.362 0.458 0.818 Cu
0.362 0.818 0.458 Cu
0.638 0.182 0.542 Cu
0.747 0.753 0.753 Ge
0.253 0.247 0.247 Ge
```

---

The following is a DFT calculation (PBE-GGA) of an optimized crystal structure of PmCu2Ge.

Properties
* crystal system: trigonal

Structure (POSCAR):
```
PmCu2Ge
1.0
-3.180 1.829 2.021
-0.602 -0.755 4.075
1.614 4.116 3.153
Ge Cu Pm
1 2 1
direct
0.500 0.500 0.500 Ge
0.794 0.794 0.618 Cu
0.206 0.206 0.382 Cu
0.000 0.000 0.000 Pm
```

---

The following is a DFT calculation (PBE-GGA) of an optimized crystal structure of Pm3CuGe3.

Properties
* crystal system: hexagonal

Structure (POSCAR):
```
Pm3CuGe3
1.0
5.957 0.000 0.000
0.000 8.658 0.000
0.000 -4.329 7.498
Pm Cu Ge
6 2 6
direct
0.750 0.697 0.630 Pm
0.750 0.370 0.067 Pm
0.750 0.933 0.303 Pm
0.250 0.303 0.370 Pm
0.250 0.630 0.933 Pm
0.250 0.067 0.697 Pm
0.250 0.667 0.333 Cu
0.750 0.333 0.667 Cu
0.250 0.696 0.629 Ge
0.250 0.371 0.067 Ge
0.250 0.933 0.304 Ge
0.750 0.304 0.371 Ge
0.750 0.629 0.933 Ge
0.750 0.067 0.696 Ge
```

---

The following is a DFT calculation (PBE-GGA) of an optimized crystal structure of Pm3Cu3Ge.

Properties
* crystal system: orthorhombic

Structure (POSCAR):
```
Pm3Cu3Ge
1.0
-2.432 -1.173 -3.173
-1.116 -3.245 2.055
-5.451 7.064 4.302
Pm Cu Ge
3 3 1
direct
0.315 0.815 0.631 Pm
0.684 0.184 0.368 Pm
0.998 0.998 0.995 Pm
0.140 0.640 0.280 Cu
0.863 0.363 0.726 Cu
0.565 0.565 0.129 Cu
0.436 0.436 0.871 Ge
```

---

The following is a DFT calculation (PBE-GGA) of an optimized crystal structure of Pm2CuGe.

Properties
* crystal system: cubic

Structure (POSCAR):
```
Pm2CuGe
1.0
-2.511 3.695 2.481
-5.094 0.275 -0.301
-2.866 -1.147 4.072
Ge Cu Pm
1 1 2
direct
0.000 0.000 0.000 Ge
0.500 0.500 0.500 Cu
0.250 0.250 0.250 Pm
0.750 0.750 0.750 Pm
```

---

The following is a DFT calculation (PBE-GGA) of an optimized crystal structure of Pm2CuGe.

Properties
* crystal system: tetragonal

Structure (POSCAR):
```
Pm2CuGe
1.0
-0.530 -2.742 2.441
4.157 1.419 2.497
-2.780 3.093 2.870
Ge Cu Pm
1 1 2
direct
0.500 0.000 0.000 Ge
0.500 0.500 0.500 Cu
0.000 0.000 0.500 Pm
0.000 0.500 0.000 Pm
```

---

The following is a DFT calculation (PBE-GGA) of an optimized crystal structure of PmCu12Ge4.

Properties
* crystal system: cubic

Structure (POSCAR):
```
PmCu12Ge4
1.0
7.174 0.000 0.000
-2.391 6.763 0.000
-2.391 -3.382 5.857
Pm Cu Ge
1 12 4
direct
0.000 0.000 0.000 Pm
0.850 0.356 0.206 Cu
0.356 0.506 0.150 Cu
0.794 0.150 0.644 Cu
0.356 0.206 0.850 Cu
0.206 0.850 0.356 Cu
0.644 0.494 0.850 Cu
0.506 0.150 0.356 Cu
0.494 0.850 0.644 Cu
0.644 0.794 0.150 Cu
0.850 0.644 0.494 Cu
0.150 0.356 0.506 Cu
0.150 0.644 0.794 Cu
0.000 0.500 0.000 Ge
0.500 0.000 0.000 Ge
0.500 0.500 0.500 Ge
0.000 0.000 0.500 Ge
```

---

The following is a DFT calculation (PBE-GGA) of an optimized crystal structure of Pm3Cu2Ge3.

Properties
* crystal system: orthorhombic

Structure (POSCAR):
```
Pm3Cu2Ge3
1.0
4.314 0.000 0.000
-2.157 5.394 0.000
0.000 0.000 14.522
Pm Cu Ge
6 4 6
direct
0.914 0.828 0.388 Pm
0.086 0.172 0.888 Pm
0.914 0.828 0.112 Pm
0.086 0.172 0.612 Pm
0.631 0.262 0.250 Pm
0.369 0.738 0.750 Pm
0.790 0.580 0.907 Cu
0.210 0.420 0.407 Cu
0.790 0.580 0.593 Cu
0.210 0.420 0.093 Cu
0.616 0.232 0.460 Ge
0.384 0.768 0.960 Ge
0.616 0.232 0.040 Ge
0.384 0.768 0.540 Ge
0.332 0.665 0.250 Ge
0.668 0.335 0.750 Ge
```

---

| no. | raw total energy (eV per atom) |
| --- | --- |
| 1 | -4.5515 |
| 2 | -4.7289 |
| 3 | -5.0526 |
| 4 | -4.7932 |
| 5 | -5.0228 |
| 6 | -4.9915 |
| 7 | -3.9630 |
| 8 | -5.2040 |